# 1
The following is a DFT calculation (PBE) of DyEr2Ti after structural relaxation.

Unit cell a=4.742 b=4.742 c=4.765 alpha=90.00 beta=90.00 gamma=90.00
Fractional coordinates of all 4 atoms:
Dy: 0.000 0.000 0.000
Er: 0.000 0.500 0.500
Er: 0.500 0.000 0.500
Ti: 0.500 0.500 0.000

Results
density of states at the Fermi level	1.55	states/eV per atom
total DFT energy (no corrections)	-5.21	eV per atom
total magnetic moment	0.256	μB per formula unit
formation energy from the elements	0.195	eV per atom
calculated volume	26.8	A^3/atom

=====

# 2
The following is a DFT calculation (PBE) of DyEr2Ti after structural relaxation.

Unit cell a=3.368 b=3.368 c=9.512 alpha=90.00 beta=90.00 gamma=90.00
Fractional coordinates of all 4 atoms:
Dy: 0.000 0.000 0.000
Er: 0.500 0.500 0.281
Er: 0.500 0.500 0.719
Ti: 0.000 0.000 0.500

Results
density of states at the Fermi level	1.59	states/eV per atom
total DFT energy (no corrections)	-5.25	eV per atom
total magnetic moment	0.000	μB per formula unit
formation energy from the elements	0.154	eV per atom
calculated volume	27.0	A^3/atom

=====

# 3
The following is a DFT calculation (PBE) of DyErTi4 after structural relaxation.

Unit cell a=5.792 b=5.792 c=5.792 alpha=60.00 beta=60.00 gamma=60.00
Fractional coordinates of all 6 atoms:
Dy: 0.000 0.000 0.000
Er: 0.750 0.750 0.750
Ti: 0.375 0.375 0.375
Ti: 0.375 0.375 0.874
Ti: 0.375 0.874 0.375
Ti: 0.874 0.375 0.375

Results
density of states at the Fermi level	1.18	states/eV per atom
total DFT energy (no corrections)	-6.55	eV per atom
total magnetic moment	9.518	μB per formula unit
formation energy from the elements	0.236	eV per atom
calculated volume	22.9	A^3/atom

=====

# 4
The following is a DFT calculation (PBE) of DyErTiTl after structural relaxation.

Unit cell a=5.254 b=5.254 c=5.254 alpha=60.00 beta=60.00 gamma=60.00
Fractional coordinates of all 4 atoms:
Dy: 0.000 0.000 0.000
Er: 0.500 0.500 0.500
Ti: 0.250 0.250 0.250
Tl: 0.750 0.750 0.750

Results
density of states at the Fermi level	1.07	states/eV per atom
total DFT energy (no corrections)	-4.85	eV per atom
total magnetic moment	2.863	μB per formula unit
formation energy from the elements	0.002	eV per atom
calculated volume	25.6	A^3/atom

=====

# 5
The following is a DFT calculation (PBE) of DyEr2Tl3 after structural relaxation.

Unit cell a=3.644 b=3.644 c=12.201 alpha=90.00 beta=90.00 gamma=90.00
Fractional coordinates of all 6 atoms:
Dy: 0.000 0.000 0.000
Er: 0.000 0.000 0.334
Er: 0.000 0.000 0.666
Tl: 0.500 0.500 0.168
Tl: 0.500 0.500 0.500
Tl: 0.500 0.500 0.832

Results
density of states at the Fermi level	0.72	states/eV per atom
total DFT energy (no corrections)	-3.80	eV per atom
total magnetic moment	0.000	μB per formula unit
formation energy from the elements	-0.327	eV per atom
calculated volume	27.0	A^3/atom

=====

# 6
The following is a DFT calculation (PBE) of Dy8Er6Tl after structural relaxation.

Unit cell a=9.104 b=9.104 c=6.702 alpha=90.00 beta=90.00 gamma=120.00
Fractional coordinates of all 15 atoms:
Dy: 0.014 0.687 0.114
Dy: 0.313 0.326 0.114
Dy: 0.326 0.014 0.886
Dy: 0.333 0.667 0.812
Dy: 0.667 0.333 0.188
Dy: 0.674 0.986 0.114
Dy: 0.687 0.674 0.886
Dy: 0.986 0.313 0.886
Er: 0.078 0.398 0.395
Er: 0.320 0.922 0.395
Er: 0.398 0.320 0.605
Er: 0.602 0.680 0.395
Er: 0.680 0.078 0.605
Er: 0.922 0.602 0.605
Tl: 0.000 0.000 0.500

Results
density of states at the Fermi level	1.26	states/eV per atom
total DFT energy (no corrections)	-4.23	eV per atom
total magnetic moment	0.000	μB per formula unit
formation energy from the elements	0.206	eV per atom
calculated volume	32.1	A^3/atom